# AsAuBr2

A relaxed AsAuBr2 crystal (PBE-GGA, Alexandria).

The structure in POSCAR format:
```
AsAuBr2
1.0
1.768 1.021 9.374
-1.768 1.021 9.374
0.000 -2.042 9.374
As Au Br
1 1 2
Direct
0.000 0.000 0.000 As
0.500 0.500 0.500 Au
0.411 0.411 0.411 Br
0.589 0.589 0.589 Br
```

Output
space group: R-3m
E_form (uncorrected): 1.29 eV per formula unit



# Ac4DyY

A relaxed Ac4DyY crystal (PBE-GGA, Alexandria).

The structure in POSCAR format:
```
Ac4DyY
1.0
3.727 0.000 0.000
0.000 5.895 0.000
0.000 0.000 11.155
Ac Dy Y
4 1 1
Direct
0.000 0.000 0.158 Ac
0.000 0.000 0.842 Ac
0.000 0.500 0.341 Ac
0.000 0.500 0.659 Ac
0.500 0.500 0.000 Dy
0.500 0.000 0.500 Y
```

Output
space group: Pmmm
calculated formation energy: 0.162 eV per atom



# LaNd4Dy7

A relaxed LaNd4Dy7 crystal (PBE-GGA, Alexandria).

The structure in POSCAR format:
```
LaNd4Dy7
1.0
6.308 0.000 0.000
0.005 7.271 0.000
2.105 0.011 8.723
La Nd Dy
1 4 7
Direct
0.000 0.000 0.000 La
0.223 0.500 0.332 Nd
0.278 0.751 0.665 Nd
0.722 0.249 0.335 Nd
0.777 0.500 0.668 Nd
0.000 0.500 0.000 Dy
0.222 0.000 0.333 Dy
0.278 0.249 0.667 Dy
0.499 0.249 0.999 Dy
0.501 0.751 0.001 Dy
0.722 0.751 0.333 Dy
0.778 0.000 0.667 Dy
```

Output
space group: P-1
calculated formation energy: 0.012 eV per atom



# Hf4SnB

A relaxed Hf4SnB crystal (PBE-GGA, Alexandria).

The structure in POSCAR format:
```
Hf4SnB
1.0
6.974 -2.751 0.000
6.974 2.751 0.000
-1.761 0.000 6.274
Hf Sn B
8 2 2
Direct
0.014 0.176 0.440 Hf
0.176 0.014 0.940 Hf
0.227 0.391 0.841 Hf
0.391 0.227 0.341 Hf
0.609 0.773 0.659 Hf
0.773 0.609 0.159 Hf
0.824 0.986 0.060 Hf
0.986 0.824 0.560 Hf
0.405 0.595 0.250 Sn
0.595 0.405 0.750 Sn
0.000 0.500 0.500 B
0.500 0.000 0.000 B
```

Output
space group: C2/c
calculated formation energy: -0.288 eV per atom



| no. | uncorrected energy (eV per atom) | N(E_F) (states/eV/atom) |
| --- | --- | --- |
| 1 | -2.495 | 0.259 |
| 2 | -4.422 | 2.007 |
| 3 | -4.672 | 1.344 |
| 4 | -8.703 | 0.685 |